Compound: CaGaOs3
Source: Alexandria
Functional: PBEsol
Structure: relaxed

The formation enthalpy at 0 K comes out at 1469 meV per atom. The symmetry is No. 221.

a b c (Å): 4.5626 4.5626 4.5626
angles (deg): 90.00 90.00 90.00
Site moments in Bohr magnetons follow the coordinates.
Element x y z (fractional)
Ca 0.5000 0.5000 0.5000  0.01
Os 0.0000 0.0000 0.5000  0.59
Os 0.5000 0.0000 0.0000  0.59
Os 0.0000 0.5000 0.0000  0.59
Ga 0.0000 0.0000 0.0000  0.00